Entry 1:
An optimized crystal structure of CoTcNiPt, computed with PBE.

energy of formation	88	meV/atom

a b c (Å): 4.192 4.192 4.192
angles (deg): 60.00 60.00 60.00
Sites, in units of the cell vectors:
Ni  0.500  0.500  0.500
Co  0.000  0.000  0.000
Tc  0.750  0.750  0.750
Pt  0.250  0.250  0.250



Entry 2:
An optimized crystal structure of Ac3La2ThTe6, computed with PBE.

formation energy without anion corrections	-1434	meV per atom

a b c (Å): 4.630 9.290 10.387
angles (deg): 103.52 102.88 90.00
Sites, in units of the cell vectors:
Ac  0.500  0.500  0.000
Ac  0.833  0.166  0.666
Ac  0.167  0.834  0.334
La  0.835  0.670  0.671
La  0.165  0.330  0.329
Th  0.500  0.000  0.000
Te  0.337  0.912  0.674
Te  0.670  0.578  0.340
Te  0.663  0.088  0.326
Te  0.001  0.241  0.002
Te  0.999  0.759  0.998
Te  0.330  0.422  0.660



Entry 3:
An optimized crystal structure of Mn2AgCl, computed with PBE.

formation energy without anion corrections	438	meV per atom
excess energy over the best structure of this formula in the dataset	0.330	eV per atom

a b c (Å): 3.246 5.355 4.280
angles (deg): 90.00 90.00 90.00
Sites, in units of the cell vectors:
Mn  0.000  0.000  0.000
Mn  0.500  0.500  0.000
Ag  0.500  0.000  0.500
Cl  0.000  0.500  0.500



Entry 4:
An optimized crystal structure of Rb2Hg6Bi, computed with PBE.

energy of formation	-222	meV/atom

a b c (Å): 6.736 7.136 7.136
angles (deg): 120.00 89.96 90.00
Sites, in units of the cell vectors:
Rb  0.844  0.667  0.333
Rb  0.156  0.333  0.667
Hg  0.345  0.364  0.182
Hg  0.344  0.818  0.636
Hg  0.345  0.818  0.182
Hg  0.655  0.636  0.818
Hg  0.656  0.182  0.364
Hg  0.655  0.182  0.818
Bi  0.000  0.000  0.000



Entry 5:
An optimized crystal structure of TlGa2Au, computed with PBE.

energy of formation	-25	meV/atom
excess energy over the best structure of this formula in the dataset	0.054	eV per atom

a b c (Å): 3.336 3.336 7.917
angles (deg): 90.00 90.00 90.00
Sites, in units of the cell vectors:
Tl  0.500  0.500  0.500
Au  0.500  0.500  0.000
Ga  0.000  0.000  0.802
Ga  0.000  0.000  0.198



Entry 6:
An optimized crystal structure of MgHI2N, computed with PBE.

excess energy over the best structure of this formula in the dataset	0.000	eV per atom

a b c (Å): 6.037 6.037 4.011
angles (deg): 90.00 90.00 90.00
Sites, in units of the cell vectors:
I  0.000  0.500  0.000
I  0.500  0.000  0.000
H  0.500  0.500  0.500
Mg  0.000  0.000  0.000
N  0.000  0.000  0.500



Entry 7:
An optimized crystal structure of ScCd2Te, computed with PBE.

formation energy without anion corrections	-346	meV per atom

a b c (Å): 3.895 4.453 6.400
angles (deg): 65.04 90.00 90.00
Sites, in units of the cell vectors:
Cd  0.000  0.000  0.000
Cd  0.500  0.500  0.000
Sc  0.500  0.500  0.500
Te  0.000  0.000  0.500



Entry 8:
An optimized crystal structure of UV2Se6, computed with PBE.

formation energy without anion corrections	-816	meV per atom
excess energy over the best structure of this formula in the dataset	0.000	eV per atom

a b c (Å): 3.735 8.049 8.806
angles (deg): 111.86 102.24 90.00
Sites, in units of the cell vectors:
U  0.500  0.000  0.000
V  0.822  0.644  0.644
V  0.178  0.356  0.356
Se  0.331  0.877  0.661
Se  0.013  0.260  0.026
Se  0.671  0.568  0.343
Se  0.987  0.740  0.974
Se  0.669  0.123  0.339
Se  0.329  0.432  0.657



Entry 9:
An optimized crystal structure of Ca3AcPa2N6, computed with PBE.

formation energy without anion corrections	-1343	meV per atom

a b c (Å): 3.621 7.159 8.087
angles (deg): 100.87 102.94 90.00
Sites, in units of the cell vectors:
Ca  0.500  0.500  0.000
Ca  0.828  0.165  0.656
Ca  0.172  0.835  0.344
Ac  0.500  0.000  0.000
Pa  0.832  0.663  0.664
Pa  0.168  0.337  0.336
N  0.329  0.879  0.658
N  0.680  0.567  0.360
N  0.671  0.121  0.342
N  0.025  0.274  0.049
N  0.975  0.726  0.951
N  0.320  0.433  0.640



Entry 10:
An optimized crystal structure of Rb2TaFe, computed with PBE.

energy of formation	1481	meV/atom
excess energy over the best structure of this formula in the dataset	0.000	eV per atom

a b c (Å): 13.518 13.518 9.804
angles (deg): 46.42 46.42 90.00
Sites, in units of the cell vectors:
Fe  0.500  0.500  0.000
Fe  0.250  0.750  0.500
Rb  0.444  0.125  0.250
Rb  0.306  0.625  0.250
Rb  0.375  0.556  0.750
Rb  0.875  0.694  0.750
Ta  0.000  0.000  0.000
Ta  0.750  0.250  0.500



Entry 11:
An optimized crystal structure of AlGa2Cu9, computed with PBE.

energy of formation	-128	meV/atom

a b c (Å): 3.691 3.691 11.088
angles (deg): 90.00 90.00 90.00
Sites, in units of the cell vectors:
Al  0.000  0.000  0.000
Ga  0.000  0.000  0.333
Ga  0.000  0.000  0.667
Cu  0.500  0.500  0.000
Cu  0.500  0.500  0.333
Cu  0.500  0.500  0.667
Cu  0.500  0.000  0.165
Cu  0.500  0.000  0.500
Cu  0.500  0.000  0.835
Cu  0.000  0.500  0.165
Cu  0.000  0.500  0.500
Cu  0.000  0.500  0.835



Entry 12:
An optimized crystal structure of CePm3Sm2As6, computed with PBE.

energy of formation	-1517	meV/atom

a b c (Å): 4.229 8.455 9.441
angles (deg): 102.94 102.94 90.00
Sites, in units of the cell vectors:
Ce  0.500  0.000  0.000
Pm  0.500  0.500  0.000
Pm  0.832  0.168  0.665
Pm  0.168  0.832  0.335
Sm  0.833  0.665  0.665
Sm  0.167  0.335  0.335
As  0.335  0.917  0.670
As  0.667  0.583  0.334
As  0.665  0.083  0.330
As  0.000  0.247  0.000
As  0.000  0.753  0.000
As  0.333  0.417  0.666